[1]
This record from the Alexandria database describes a relaxed structure of CeZrVN3. The functional is PBE-GGA.

Cell lengths 7.0960, 3.2747, 7.4487 Å; angles 90.00, 100.73, 90.00 degrees
Space group P2_1/m (No. 11)
Unique sites:
Ce 0.1772 0.2500 0.1900 [2 per cell]
Zr 0.3582 0.7500 0.8516 [2 per cell]
V 0.1026 0.2500 0.5981 [2 per cell]
N 0.1237 0.2500 0.8580 [2 per cell]
N 0.1829 0.7500 0.4937 [2 per cell]
N 0.4204 0.7500 0.1515 [2 per cell]

## Properties
mass density: 6.333 g/cm³
formation energy (no corrections): -1262 meV/atom


[2]
This record from the Alexandria database describes a relaxed structure of Th2AlGe3Pt4. The functional is PBE-GGA.

Cell lengths 4.3515, 4.3515, 10.1953 Å; angles 90.00, 90.00, 90.00 degrees
Space group P-4m2 (No. 115)
Unique sites:
Th 0.0000 0.5000 0.2436 [2 per cell]
Al 0.0000 0.0000 0.5000 [1 per cell]
Ge 0.0000 0.5000 0.8674 [2 per cell]
Ge 0.5000 0.5000 0.5000 [1 per cell]
Pt 0.0000 0.0000 0.0000 [1 per cell]
Pt 0.0000 0.5000 0.6261 [2 per cell]
Pt 0.5000 0.5000 0.0000 [1 per cell]

## Properties
formation energy from the elements: -0.995 eV per atom
mass density: 12.810 g/cm³


[3]
This record from the Alexandria database describes a relaxed structure of Be2Al2ZnCu5. The functional is PBE-GGA.

Cell lengths 8.3073, 8.3073, 3.5273 Å; angles 90.00, 90.00, 90.00 degrees
Space group P4/mbm (No. 127)
Unique sites:
Be 0.1156 0.3844 0.0000 [4 per cell]
Al 0.1766 0.6766 0.0000 [4 per cell]
Zn 0.0000 0.0000 0.0000 [2 per cell]
Cu 0.0000 0.5000 0.5000 [2 per cell]
Cu 0.0753 0.2082 0.5000 [8 per cell]

## Properties
formation energy from the elements: -0.082 eV per atom
mass density: 6.209 g/cm³


[4]
This record from the Alexandria database describes a relaxed structure of TiMoAs2P. The functional is PBE-GGA.

Cell lengths 4.9135, 4.9135, 4.5526 Å; angles 90.00, 90.00, 90.00 degrees
Space group P4/mmm (No. 123)
Unique sites:
Ti 0.0000 0.0000 0.0000 [1 per cell]
Mo 0.5000 0.5000 0.5000 [1 per cell]
As 0.0000 0.5000 0.5000 [2 per cell]
P 0.5000 0.5000 0.0000 [1 per cell]

## Properties
formation energy from the elements: 0.638 eV per atom
mass density: 4.905 g/cm³


[5]
This record from the Alexandria database describes a relaxed structure of MnBe4Al. The functional is PBE-GGA.

Cell lengths 6.0664, 6.0664, 6.0664 Å; angles 90.00, 90.00, 90.00 degrees
Space group F-43m (No. 216)
Unique sites:
Mn 0.0000 0.0000 0.0000 [4 per cell]
Be 0.1266 0.1266 0.3734 [16 per cell]
Al 0.2500 0.2500 0.7500 [4 per cell]

## Properties
formation energy from the elements: -0.180 eV per atom
mass density: 3.510 g/cm³


[6]
This record from the Alexandria database describes a relaxed structure of TbEuTlRh. The functional is PBE-GGA.

Cell lengths 7.3512, 7.3512, 7.3512 Å; angles 90.00, 90.00, 90.00 degrees
Space group F-43m (No. 216)
Unique sites:
Tb 0.0000 0.0000 0.0000 [4 per cell]
Eu 0.0000 0.0000 0.5000 [4 per cell]
Tl 0.2500 0.2500 0.2500 [4 per cell]
Rh 0.2500 0.2500 0.7500 [4 per cell]

## Properties
formation energy from the elements: -0.366 eV per atom
mass density: 10.336 g/cm³


[7]
This record from the Alexandria database describes a relaxed structure of CsRbHfO3. The functional is PBE-GGA.

Cell lengths 6.7547, 13.2138, 5.9384 Å; angles 90.00, 94.43, 90.00 degrees
Space group C2/c (No. 15)
Unique sites:
Cs 0.0000 0.2473 0.2500 [4 per cell]
Rb 0.0000 0.4134 0.7500 [4 per cell]
Hf 0.0000 0.0485 0.7500 [4 per cell]
O 0.0000 0.1951 0.7500 [4 per cell]
O 0.1930 0.0145 0.4975 [8 per cell]

## Properties
mass density: 5.592 g/cm³
formation energy (no corrections): -2494 meV/atom


[8]
This record from the Alexandria database describes a relaxed structure of Ti4SiH2. The functional is PBE-GGA.

Cell lengths 4.5529, 4.5529, 9.7123 Å; angles 90.00, 90.00, 90.00 degrees
Space group I4/mmm (No. 139)
Unique sites:
Ti 0.0000 0.0000 0.2493 [4 per cell]
Ti 0.0000 0.5000 0.0000 [4 per cell]
Si 0.0000 0.0000 0.5000 [2 per cell]
H 0.0000 0.0000 0.0654 [4 per cell]

## Properties
distance to the lowest polymorph of the same formula: 605 meV per atom
mass density: 3.655 g/cm³


[9]
This record from the Alexandria database describes a relaxed structure of ScAsNO2. The functional is PBE-GGA.

Cell lengths 3.7922, 3.7922, 3.8860 Å; angles 90.00, 90.00, 90.00 degrees
Space group P4/mmm (No. 123)
Unique sites:
Sc 0.0000 0.0000 0.0000 [1 per cell]
As 0.5000 0.5000 0.5000 [1 per cell]
N 0.5000 0.5000 0.0000 [1 per cell]
O 0.0000 0.5000 0.5000 [2 per cell]

## Properties
mass density: 4.929 g/cm³
formation energy (no corrections): -888 meV/atom


[10]
This record from the Alexandria database describes a relaxed structure of Li2AlW. The functional is PBE-GGA.

Cell lengths 2.6249, 2.6249, 9.0966 Å; angles 90.00, 90.00, 90.00 degrees
Space group P4/mmm (No. 123)
Unique sites:
Li 0.0000 0.0000 0.2468 [2 per cell]
Al 0.5000 0.5000 0.0000 [1 per cell]
W 0.5000 0.5000 0.5000 [1 per cell]

## Properties
formation energy from the elements: 0.265 eV per atom
mass density: 5.953 g/cm³


[11]
This record from the Alexandria database describes a relaxed structure of SrTl4Ga. The functional is PBE-GGA.

Cell lengths 9.1179, 9.1179, 9.1179 Å; angles 90.00, 90.00, 90.00 degrees
Space group F-43m (No. 216)
Unique sites:
Sr 0.0000 0.0000 0.0000 [4 per cell]
Tl 0.1246 0.1246 0.3754 [16 per cell]
Ga 0.2500 0.2500 0.7500 [4 per cell]

## Properties
formation energy from the elements: -0.038 eV per atom
mass density: 8.542 g/cm³


[12]
This record from the Alexandria database describes a relaxed structure of PmPrHg4. The functional is PBE-GGA.

Cell lengths 10.8422, 3.9914, 7.9977 Å; angles 90.00, 111.49, 90.00 degrees
Space group C2/m (No. 12)
Unique sites:
Pm 0.0000 0.0000 0.0000 [2 per cell]
Pr 0.0000 0.0000 0.5000 [2 per cell]
Hg 0.1689 0.5000 0.3305 [4 per cell]
Hg 0.1695 0.5000 0.8388 [4 per cell]

## Properties
distance to the lowest polymorph of the same formula: 37 meV per atom
formation energy from the elements: -0.366 eV per atom
mass density: 11.222 g/cm³


[13]
This record from the Alexandria database describes a relaxed structure of Li4InGa5. The functional is PBE-GGA.

Cell lengths 13.1672, 4.0679, 9.3633 Å; angles 90.00, 128.19, 90.00 degrees
Space group C2/m (No. 12)
Unique sites:
Li 0.0978 0.0000 0.3294 [4 per cell]
Li 0.1402 0.5000 0.8767 [4 per cell]
In 0.0000 0.5000 0.5000 [2 per cell]
Ga 0.0000 0.5000 0.0000 [2 per cell]
Ga 0.1385 0.0000 0.0540 [4 per cell]
Ga 0.2079 0.0000 0.7110 [4 per cell]

## Properties
formation energy from the elements: -0.123 eV per atom
mass density: 4.139 g/cm³


[14]
This record from the Alexandria database describes a relaxed structure of Ba3Na2Pt. The functional is PBE-GGA.

Cell lengths 12.1247, 10.1001, 9.1952 Å; angles 90.00, 90.00, 90.00 degrees
Space group Cmcm (No. 63)
Unique sites:
Ba 0.0000 0.1899 0.2500 [4 per cell]
Ba 0.1739 0.5000 0.0000 [8 per cell]
Na 0.1267 0.2138 0.7500 [8 per cell]
Pt 0.0000 0.4924 0.7500 [4 per cell]

## Properties
formation energy from the elements: -0.283 eV per atom
mass density: 3.852 g/cm³


[15]
This record from the Alexandria database describes a relaxed structure of NaAs2Pd7. The functional is PBE-GGA.

Cell lengths 4.0765, 4.0765, 20.2694 Å; angles 90.00, 90.00, 90.00 degrees
Space group I4/mmm (No. 139)
Unique sites:
Na 0.0000 0.0000 0.0000 [2 per cell]
As 0.0000 0.0000 0.3294 [4 per cell]
Pd 0.0000 0.0000 0.5000 [2 per cell]
Pd 0.0000 0.5000 0.1023 [8 per cell]
Pd 0.0000 0.5000 0.2500 [4 per cell]

## Properties
formation energy from the elements: -0.278 eV per atom
mass density: 9.049 g/cm³


[16]
This record from the Alexandria database describes a relaxed structure of GaSbPt. The functional is PBE-GGA.

Cell lengths 6.3260, 6.3260, 6.3260 Å; angles 90.00, 90.00, 90.00 degrees
Space group F-43m (No. 216)
Unique sites:
Ga 0.0000 0.0000 0.0000 [4 per cell]
Sb 0.0000 0.0000 0.5000 [4 per cell]
Pt 0.2500 0.2500 0.7500 [4 per cell]

## Properties
mass density: 10.143 g/cm³
formation energy (no corrections): -443 meV/atom


[17]
This record from the Alexandria database describes a relaxed structure of NaSeCl2. The functional is PBE-GGA.

Cell lengths 4.0461, 4.0461, 23.7099 Å; angles 90.00, 90.00, 120.00 degrees
Space group R-3m (No. 166, hexagonal axes)
Unique sites:
Na 0.0000 0.0000 0.0000 [3 per cell]
Se 0.0000 0.0000 0.5000 [3 per cell]
Cl 0.0000 0.0000 0.3975 [6 per cell]

## Properties
distance to the lowest polymorph of the same formula: 0 meV per atom
mass density: 2.562 g/cm³
formation energy (no corrections): -759 meV/atom


[18]
This record from the Alexandria database describes a relaxed structure of YbIn2. The functional is PBE-GGA.

Cell lengths 4.9635, 4.9635, 7.5642 Å; angles 90.00, 90.00, 120.00 degrees
Space group P6_3/mmc (No. 194)
Unique sites:
Yb 0.0000 0.0000 0.2500 [2 per cell]
In 0.3333 0.6667 0.0432 [4 per cell]

## Properties
formation energy from the elements: -0.445 eV per atom
mass density: 8.286 g/cm³


[19]
This record from the Alexandria database describes a relaxed structure of NdErTe3. The functional is PBE-GGA.

Cell lengths 8.2723, 4.3959, 17.3774 Å; angles 90.00, 90.00, 90.00 degrees
Space group Pnma (No. 62)
Unique sites:
Nd 0.1356 0.2500 0.2000 [4 per cell]
Er 0.2277 0.7500 0.4585 [4 per cell]
Te 0.0054 0.2500 0.3942 [4 per cell]
Te 0.1180 0.7500 0.0625 [4 per cell]
Te 0.1564 0.2500 0.7861 [4 per cell]

## Properties
distance to the lowest polymorph of the same formula: 8 meV per atom
mass density: 7.298 g/cm³
formation energy (no corrections): -1399 meV/atom


[20]
This record from the Alexandria database describes a relaxed structure of YCd2Co2. The functional is PBE-GGA.

Cell lengths 4.1274, 4.1274, 11.2410 Å; angles 90.00, 90.00, 90.00 degrees
Space group I4/mmm (No. 139)
Unique sites:
Y 0.0000 0.0000 0.0000 [2 per cell]
Cd 0.0000 0.5000 0.2500 [4 per cell]
Co 0.0000 0.0000 0.4052 [4 per cell]

## Properties
distance to the lowest polymorph of the same formula: 0 meV per atom
formation energy from the elements: 0.048 eV per atom
mass density: 7.485 g/cm³


[21]
This record from the Alexandria database describes a relaxed structure of Si2RuBr. The functional is PBE-GGA.

Cell lengths 6.4321, 6.4321, 6.4321 Å; angles 90.00, 90.00, 90.00 degrees
Space group Fm-3m (No. 225)
Unique sites:
Si 0.2500 0.2500 0.2500 [8 per cell]
Ru 0.0000 0.0000 0.0000 [4 per cell]
Br 0.0000 0.0000 0.5000 [4 per cell]

## Properties
distance to the lowest polymorph of the same formula: 915 meV per atom
mass density: 5.919 g/cm³
formation energy (no corrections): 943 meV/atom


[22]
This record from the Alexandria database describes a relaxed structure of Sr3CrC2N6. The functional is PBE-GGA.

Cell lengths 5.3413, 5.3413, 6.4275 Å; angles 90.00, 90.00, 120.00 degrees
Space group P-3m1 (No. 164)
Unique sites:
Sr 0.0000 0.0000 0.0000 [1 per cell]
Sr 0.3333 0.6667 0.6968 [2 per cell]
Cr 0.0000 0.0000 0.5000 [1 per cell]
C 0.3333 0.6667 0.2982 [2 per cell]
N 0.1844 0.3689 0.2985 [6 per cell]

## Properties
mass density: 4.422 g/cm³
formation energy (no corrections): -434 meV/atom


[23]
This record from the Alexandria database describes a relaxed structure of Y2Nb2Fe. The functional is PBE-GGA.

Cell lengths 6.4571, 6.4571, 5.1773 Å; angles 90.00, 90.00, 90.00 degrees
Space group P4/mbm (No. 127)
Unique sites:
Y 0.1708 0.3292 0.0000 [4 per cell]
Nb 0.1508 0.6508 0.5000 [4 per cell]
Fe 0.0000 0.0000 0.5000 [2 per cell]

## Properties
formation energy from the elements: 0.213 eV per atom
mass density: 6.454 g/cm³


[24]
This record from the Alexandria database describes a relaxed structure of Ac6SnHg5. The functional is PBE-GGA.

Cell lengths 9.8972, 17.2878, 5.7537 Å; angles 90.00, 125.48, 90.00 degrees
Space group C2/m (No. 12)
Unique sites:
Ac 0.2472 0.0000 0.2469 [4 per cell]
Ac 0.2484 0.1657 0.7481 [8 per cell]
Sn 0.0000 0.0000 0.5000 [2 per cell]
Hg 0.0000 0.1708 0.0000 [4 per cell]
Hg 0.0000 0.3332 0.5000 [4 per cell]
Hg 0.0000 0.5000 0.0000 [2 per cell]

## Properties
formation energy from the elements: -0.502 eV per atom
mass density: 10.290 g/cm³